#i
Sc3Zn2: optimized geometry, PBE-GGA.

a b c (Å): 7.7139 5.6740 8.6679
angles (deg): 60.91 40.00 79.09
With the nearest neighbours (Å) after each atom.
Fractional coordinates of all 10 atoms:
Sc1 0.0000 0.0000 0.0000  6 Zn 2.85-3.01
Sc2 0.2500 0.2500 0.2500  6 Zn 2.85-3.01
Sc3 0.4290 0.5685 0.3668  5 Zn 2.85-3.15, 3 Sc 2.91-2.99
Sc4 0.5685 0.4290 0.6357  5 Zn 2.85-3.15, 3 Sc 2.91-2.99
Sc5 0.6143 0.8832 0.6815  5 Zn 2.85-3.15, 3 Sc 2.91-2.99
Sc6 0.8832 0.6143 0.8210  5 Zn 2.85-3.15, 3 Sc 2.91-2.99
Zn1 0.1525 0.7873 0.2526  8 Sc 2.85-3.15
Zn2 0.4424 0.9974 0.4627  8 Sc 2.85-3.15
Zn3 0.7873 0.1525 0.8076  8 Sc 2.85-3.15
Zn4 0.9974 0.4424 0.0975  8 Sc 2.85-3.15

Summary:
SG: Fdd2, No. 43
Calculated volume: 201 Å³/cell
Magnetic moment: 0.0001 μB/atom

#ii
Sc3Zn2: optimized geometry, PBE-GGA.

a b c (Å): 4.6342 4.6342 5.7493
angles (deg): 90.00 90.00 120.00
With the nearest neighbours (Å) after each atom.
Fractional coordinates of all 5 atoms:
Sc1 0.0000 0.0000 0.0000  6 Zn 2.81
Sc2 0.3333 0.6667 0.3490  5 Zn 2.86-2.91, 3 Sc 3.19
Sc3 0.6667 0.3333 0.6510  5 Zn 2.86-2.91, 3 Sc 3.19
Zn1 0.3333 0.6667 0.8515  8 Sc 2.81-2.91
Zn2 0.6667 0.3333 0.1485  8 Sc 2.81-2.91

Summary:
SG: P-3m1, No. 164
Calculated volume: 107 Å³/cell
Magnetic moment: 0.1041 μB/atom

What are the relative energies? In kJ/mol of atoms: #i 0.0; #ii 2.2.

#i
ZrScZn: optimized geometry, PBE-GGA.

a b c (Å): 6.3764 6.3764 6.3764
angles (deg): 150.86 150.86 41.69
With the nearest neighbours (Å) after each atom.
Fractional coordinates of all 3 atoms:
Zr1 0.0000 0.0000 0.0000  4 Zn 2.95, 4 Sc 3.16, 4 Zr 3.21
Sc1 0.6849 0.6849 0.0000  4 Zn 2.94, 4 Zr 3.16, 4 Sc 3.21
Zn1 0.3416 0.3416 0.0000  4 Sc 2.94, 4 Zr 2.95, 4 Zn 3.21

Summary:
SG: I4mm, No. 107
Calculated volume: 61 Å³/cell
Magnetic moment: 0.0000 μB/atom

#ii
ZrScZn: optimized geometry, PBE-GGA.

a b c (Å): 4.5943 4.5943 4.5943
angles (deg): 60.00 60.00 60.00
With the nearest neighbours (Å) after each atom.
Fractional coordinates of all 3 atoms:
Zr1 0.0000 0.0000 0.0000  4 Zn 2.81
Sc1 0.5000 0.5000 0.5000  4 Zn 2.81
Zn1 0.2500 0.2500 0.2500  4 Zr 2.81, 4 Sc 2.81

Summary:
SG: F-43m, No. 216
Calculated volume: 69 Å³/cell
Magnetic moment: 0.3281 μB/atom

What are the relative energies? In kJ/mol of atoms: #i 0.0; #ii 37.3.

#i
ZrScZn: optimized geometry, PBE-GGA.

a b c (Å): 8.8079 8.8079 4.4302
angles (deg): 90.00 90.00 158.92
With the nearest neighbours (Å) after each atom.
Fractional coordinates of all 6 atoms:
Zr1 0.2105 0.7895 0.7500  1 Zn 2.93, 6 Zr 3.06-3.22, 1 Sc 3.21
Zr2 0.7895 0.2105 0.2500  1 Zn 2.93, 6 Zr 3.06-3.22, 1 Sc 3.21
Sc1 0.3959 0.6041 0.7500  6 Zn 2.95-2.99, 1 Zr 3.21, 2 Sc 3.22
Sc2 0.6041 0.3959 0.2500  6 Zn 2.95-2.99, 1 Zr 3.21, 2 Sc 3.22
Zn1 0.0412 0.9588 0.7500  2 Zn 2.63, 1 Zr 2.93, 4 Sc 2.95
Zn2 0.9588 0.0412 0.2500  2 Zn 2.63, 1 Zr 2.93, 4 Sc 2.95

Summary:
SG: Cmcm, No. 63
Calculated volume: 124 Å³/cell
Magnetic moment: 0.0000 μB/atom

#ii
ZrScZn: optimized geometry, PBE-GGA.

a b c (Å): 3.2427 3.2427 7.0788
angles (deg): 90.00 90.00 120.00
With the nearest neighbours (Å) after each atom.
Fractional coordinates of all 3 atoms:
Zr1 0.0000 0.0000 0.0000  3 Zn 2.95, 3 Sc 3.15, 6 Zr 3.24
Sc1 0.6667 0.3333 0.3585  3 Zn 2.94, 3 Zr 3.15, 6 Sc 3.24
Zn1 0.3333 0.6667 0.6780  3 Sc 2.94, 3 Zr 2.95, 6 Zn 3.24

Summary:
SG: P3m1, No. 156
Calculated volume: 64 Å³/cell
Magnetic moment: 0.0000 μB/atom

What are the relative energies? In kJ/mol of atoms: #i 0.0; #ii 13.6.

#i
Zr4ScZn: optimized geometry, PBE-GGA.

a b c (Å): 3.2352 3.2352 12.6299
angles (deg): 90.00 90.00 90.00
With the nearest neighbours (Å) after each atom.
Fractional coordinates of all 6 atoms:
Zr1 0.0000 0.0000 0.1432  4 Zn 2.92, 8 Zr 3.17-3.24
Zr2 0.0000 0.0000 0.8568  4 Zn 2.92, 8 Zr 3.17-3.24
Zr3 0.5000 0.5000 0.3172  8 Zr 3.17-3.24, 4 Sc 3.25
Zr4 0.5000 0.5000 0.6828  8 Zr 3.17-3.24, 4 Sc 3.25
Sc1 0.0000 0.0000 0.5000  4 Sc 3.24, 8 Zr 3.25
Zn1 0.5000 0.5000 0.0000  8 Zr 2.92, 4 Zn 3.24

Summary:
SG: P4/mmm, No. 123
Calculated volume: 132 Å³/cell
Magnetic moment: 0.0000 μB/atom

#ii
Zr4ScZn: optimized geometry, PBE-GGA.

a b c (Å): 5.8109 5.8109 5.8109
angles (deg): 60.00 60.00 60.00
With the nearest neighbours (Å) after each atom.
Fractional coordinates of all 6 atoms:
Zr1 0.1231 0.1231 0.1231  6 Zr 2.86-2.95
Zr2 0.1231 0.1231 0.6307  6 Zr 2.86-2.95
Zr3 0.1231 0.6307 0.1231  6 Zr 2.86-2.95
Zr4 0.6307 0.1231 0.1231  6 Zr 2.86-2.95
Sc1 0.7500 0.7500 0.7500  12 Zr 3.40, 4 Zn 3.56
Zn1 0.5000 0.5000 0.5000  12 Zr 3.41, 4 Sc 3.56

Summary:
SG: F-43m, No. 216
Calculated volume: 139 Å³/cell
Magnetic moment: 0.0000 μB/atom

#iii
Zr4ScZn: optimized geometry, PBE-GGA.

a b c (Å): 5.4102 5.4102 10.4892
angles (deg): 105.96 105.96 64.25
With the nearest neighbours (Å) after each atom.
Fractional coordinates of all 12 atoms:
Zr1 0.1656 0.6871 0.5348  1 Zn 2.91, 5 Zr 3.04-3.25, 2 Sc 3.10-3.21
Zr2 0.3031 0.3240 0.7540  2 Zn 2.91, 2 Sc 2.95-3.14, 5 Zr 3.04-3.19
Zr3 0.3129 0.8344 0.9652  1 Zn 2.91, 5 Zr 3.04-3.25, 2 Sc 3.10-3.21
Zr4 0.3240 0.3031 0.2540  2 Zn 2.91, 2 Sc 2.95-3.14, 5 Zr 3.04-3.19
Zr5 0.6760 0.6969 0.7460  2 Zn 2.91, 2 Sc 2.95-3.14, 5 Zr 3.04-3.19
Zr6 0.6871 0.1656 0.0348  1 Zn 2.91, 5 Zr 3.04-3.25, 2 Sc 3.10-3.21
Zr7 0.6969 0.6760 0.2460  2 Zn 2.91, 2 Sc 2.95-3.14, 5 Zr 3.04-3.19
Zr8 0.8344 0.3129 0.4652  1 Zn 2.91, 5 Zr 3.04-3.25, 2 Sc 3.10-3.21
Sc1 0.0000 0.5000 0.0000  8 Zr 2.95-3.21, 2 Zn 2.99
Sc2 0.5000 0.0000 0.5000  8 Zr 2.95-3.21, 2 Zn 2.99
Zn1 0.1034 0.8966 0.2500  6 Zr 2.91, 2 Sc 2.99
Zn2 0.8966 0.1034 0.7500  6 Zr 2.91, 2 Sc 2.99

Summary:
SG: C2/c, No. 15
Calculated volume: 262 Å³/cell
Magnetic moment: 0.0000 μB/atom

What are the relative energies? In kJ/mol of atoms: #i 0.0; #ii 35.2; #iii 3.4.

#i
ZrSc2Zn2: optimized geometry, PBE-GGA.

a b c (Å): 7.7816 7.7816 3.3159
angles (deg): 90.00 90.00 90.00
With the nearest neighbours (Å) after each atom.
Fractional coordinates of all 10 atoms:
Zr1 0.0000 0.0000 0.0000  4 Zn 3.08, 2 Zr 3.32, 8 Sc 3.32
Zr2 0.5000 0.5000 0.0000  4 Zn 3.08, 2 Zr 3.32, 8 Sc 3.32
Sc1 0.1732 0.3268 0.5000  6 Zn 2.77-2.88
Sc2 0.3268 0.8268 0.5000  6 Zn 2.77-2.88
Sc3 0.6732 0.1732 0.5000  6 Zn 2.77-2.88
Sc4 0.8268 0.6732 0.5000  6 Zn 2.77-2.88
Zn1 0.1248 0.6248 0.0000  1 Zn 2.75, 6 Sc 2.77-2.88
Zn2 0.3752 0.1248 0.0000  1 Zn 2.75, 6 Sc 2.77-2.88
Zn3 0.6248 0.8752 0.0000  1 Zn 2.75, 6 Sc 2.77-2.88
Zn4 0.8752 0.3752 0.0000  1 Zn 2.75, 6 Sc 2.77-2.88

Summary:
SG: P4/mbm, No. 127
Calculated volume: 201 Å³/cell
Magnetic moment: 0.0000 μB/atom

#ii
ZrSc2Zn2: optimized geometry, PBE-GGA.

a b c (Å): 8.0243 8.0243 3.0774
angles (deg): 90.00 90.00 90.00
With the nearest neighbours (Å) after each atom.
Fractional coordinates of all 10 atoms:
Zr1 0.0000 0.0000 0.0000  2 Zr 3.08, 4 Sc 3.13, 8 Zn 3.36
Zr2 0.5000 0.5000 0.0000  2 Zr 3.08, 4 Sc 3.13, 8 Zn 3.36
Sc1 0.1335 0.3665 0.0000  6 Zn 2.74-2.87, 1 Sc 3.03
Sc2 0.3665 0.8665 0.0000  6 Zn 2.74-2.87, 1 Sc 3.03
Sc3 0.6335 0.1335 0.0000  6 Zn 2.74-2.87, 1 Sc 3.03
Sc4 0.8665 0.6335 0.0000  6 Zn 2.74-2.87, 1 Sc 3.03
Zn1 0.1665 0.6665 0.5000  6 Sc 2.74-2.87
Zn2 0.3335 0.1665 0.5000  6 Sc 2.74-2.87
Zn3 0.6665 0.8335 0.5000  6 Sc 2.74-2.87
Zn4 0.8335 0.3335 0.5000  6 Sc 2.74-2.87

Summary:
SG: P4/mbm, No. 127
Calculated volume: 198 Å³/cell
Magnetic moment: 0.0000 μB/atom

What are the relative energies? In kJ/mol of atoms: #i 0.0; #ii 10.9.